No. 1
{"formula": "LaAg2Sb", "functional": "PBE", "state": "optimized geometry", "lattice": [[-2.564, 1.232, -3.430], [2.603, -0.558, -2.146], [-0.644, -6.507, -1.856]], "species": ["Sb", "Ag", "Ag", "La"], "frac_coords": [[0.500, 0.932, 0.762], [0.000, 0.794, 0.035], [0.500, 0.220, 0.185], [0.000, 0.555, 0.519]], "dft_energy_ev_per_atom": -4.00, "rho_kg_m3": 7901, "formation_energy_uncorrected_ev_per_atom": -0.314, "spacegroup": "No. 6", "n_ef_per_ev_atom": 0.39}

No. 2
{"formula": "LaAg3Sb", "functional": "PBE", "state": "optimized geometry", "lattice": [[5.208, 0.000, 0.000], [0.000, 5.208, 0.000], [0.000, 0.000, 5.208]], "species": ["Sb", "Ag", "Ag", "Ag", "La"], "frac_coords": [[0.000, 0.000, 0.000], [0.000, 0.500, 0.000], [0.000, 0.000, 0.500], [0.500, 0.000, 0.000], [0.500, 0.500, 0.500]], "dft_energy_ev_per_atom": -3.31, "e_above_lowest_polymorph_ev_per_atom": 0.0000, "rho_kg_m3": 6869, "formation_energy_uncorrected_ev_per_atom": 0.213, "spacegroup": "No. 221", "n_ef_per_ev_atom": 1.41}

No. 3
{"formula": "LaAgSb2", "functional": "PBE", "state": "optimized geometry", "lattice": [[-4.786, 0.694, -0.261], [-0.717, -3.868, 2.825], [0.183, 2.626, 3.642]], "species": ["Sb", "Sb", "Ag", "La"], "frac_coords": [[0.000, 0.000, 0.000], [0.500, 0.500, 0.000], [0.500, 0.000, 0.500], [0.000, 0.500, 0.500]], "dft_energy_ev_per_atom": -4.59, "e_above_lowest_polymorph_ev_per_atom": 0.1609, "rho_kg_m3": 7724, "formation_energy_uncorrected_ev_per_atom": -0.583, "spacegroup": "No. 123", "n_ef_per_ev_atom": 0.64}

No. 4
{"formula": "La2AgSb", "functional": "PBE", "state": "optimized geometry", "lattice": [[-1.935, 5.007, 6.705], [-3.331, -2.460, -3.368], [-1.989, -1.663, 3.183]], "species": ["Sb", "Ag", "La", "La"], "frac_coords": [[0.000, 0.500, 0.500], [0.500, 0.500, 0.000], [0.000, 0.000, 0.000], [0.500, 0.000, 0.500]], "dft_energy_ev_per_atom": -4.91, "rho_kg_m3": 7203, "formation_energy_uncorrected_ev_per_atom": -0.699, "spacegroup": "No. 65", "n_ef_per_ev_atom": 0.96}

No. 5
{"formula": "LaAgSb3", "functional": "PBE", "state": "optimized geometry", "lattice": [[6.038, 0.000, 0.000], [0.000, 6.038, 0.000], [0.000, 0.000, 6.038]], "species": ["Sb", "Sb", "Sb", "Ag", "La"], "frac_coords": [[0.000, 0.500, 0.000], [0.000, 0.000, 0.500], [0.500, 0.000, 0.000], [0.500, 0.500, 0.500], [0.000, 0.000, 0.000]], "dft_energy_ev_per_atom": -3.34, "e_above_lowest_polymorph_ev_per_atom": 0.7263, "rho_kg_m3": 4618, "formation_energy_uncorrected_ev_per_atom": 0.687, "spacegroup": "No. 221", "n_ef_per_ev_atom": 1.06}

No. 6
{"formula": "LaAg2Sb2", "functional": "PBE", "state": "optimized geometry", "lattice": [[5.010, 0.000, 0.000], [0.000, 5.010, 0.000], [2.505, 2.505, 5.211]], "species": ["Sb", "Sb", "Ag", "Ag", "La"], "frac_coords": [[0.750, 0.250, 0.500], [0.250, 0.750, 0.500], [0.373, 0.373, 0.254], [0.627, 0.627, 0.746], [0.000, 0.000, 0.000]], "dft_energy_ev_per_atom": -4.13, "e_above_lowest_polymorph_ev_per_atom": 0.2149, "rho_kg_m3": 7594, "formation_energy_uncorrected_ev_per_atom": -0.351, "spacegroup": "No. 139", "n_ef_per_ev_atom": 0.39}

No. 7
{"formula": "LaAg2Sb", "functional": "PBE", "state": "optimized geometry", "lattice": [[-0.773, 4.411, 0.394], [-4.456, -0.740, -0.460], [-0.420, -0.512, 4.901]], "species": ["Sb", "Ag", "Ag", "La"], "frac_coords": [[0.000, 0.500, 0.500], [0.000, 0.000, 0.000], [0.500, 0.500, 0.000], [0.500, 0.000, 0.500]], "dft_energy_ev_per_atom": -4.09, "rho_kg_m3": 7837, "formation_energy_uncorrected_ev_per_atom": -0.399, "spacegroup": "No. 47", "n_ef_per_ev_atom": 0.36}

No. 8
{"formula": "La6Ag5Sb", "functional": "PBE", "state": "optimized geometry", "lattice": [[5.199, -0.005, -1.458], [-3.902, 7.641, -3.939], [-0.177, -1.081, 9.377]], "species": ["Sb", "Ag", "Ag", "Ag", "Ag", "Ag", "La", "La", "La", "La", "La", "La"], "frac_coords": [[0.000, 0.000, 0.000], [0.500, 0.174, 0.826], [0.000, 0.332, 0.668], [0.500, 0.500, 0.500], [0.000, 0.668, 0.332], [0.500, 0.826, 0.174], [0.250, 0.083, 0.416], [0.750, 0.584, 0.917], [0.750, 0.250, 0.250], [0.250, 0.750, 0.750], [0.250, 0.416, 0.083], [0.750, 0.917, 0.584]], "dft_energy_ev_per_atom": -4.39, "rho_kg_m3": 7255, "formation_energy_uncorrected_ev_per_atom": -0.396, "spacegroup": "No. 71", "n_ef_per_ev_atom": 1.14}